Entry 1:
Computed, not measured: a relaxed structure of PaSnSb at the PBE-GGA level of DFT.

Size of the total moment, μB per atom: 0.408
Electronic total energy, eV for the cell shown: -67.81
Energy above the lowest structure with this stoichiometry, eV per atom: 0.663

a b c (Å): 7.196 7.196 7.196
angles (deg): 90.00 90.00 90.00
Space group F-43m (No. 216)
Symmetry-distinct sites (fractional):
Pa: 0.000 0.000 0.000
Sn: 0.000 0.000 0.500
Sb: 0.250 0.250 0.250



Entry 2:
Computed, not measured: a relaxed structure of TbPaSb at the PBE-GGA level of DFT.

Size of the total moment, μB per atom: 0.243
Electronic total energy, eV for the cell shown: -67.27
Energy above the lowest structure with this stoichiometry, eV per atom: 0.000

a b c (Å): 7.087 7.087 7.087
angles (deg): 90.00 90.00 90.00
Space group F-43m (No. 216)
Symmetry-distinct sites (fractional):
Tb: 0.000 0.000 0.000
Pa: 0.250 0.250 0.250
Sb: 0.250 0.250 0.750



Entry 3:
Computed, not measured: a relaxed structure of PaTcSb2 at the PBE-GGA level of DFT.

Size of the total moment, μB per atom: 0.000
Electronic total energy, eV for the cell shown: -59.71

a b c (Å): 4.465 4.465 9.253
angles (deg): 90.00 90.00 90.00
Space group P4/nmm (No. 129, origin choice 2)
Symmetry-distinct sites (fractional):
Pa: 0.250 0.250 0.224
Tc: 0.250 0.750 0.000
Sb: 0.250 0.250 0.833
Sb: 0.250 0.750 0.500



Entry 4:
Computed, not measured: a relaxed structure of ThPaSb at the PBE-GGA level of DFT.

Size of the total moment, μB per atom: 0.444
Electronic total energy, eV for the cell shown: -77.75

a b c (Å): 7.276 7.276 7.276
angles (deg): 90.00 90.00 90.00
Space group F-43m (No. 216)
Symmetry-distinct sites (fractional):
Th: 0.000 0.000 0.000
Pa: 0.250 0.250 0.750
Sb: 0.000 0.000 0.500



Entry 5:
Computed, not measured: a relaxed structure of PaTlSb at the PBE-GGA level of DFT.

Size of the total moment, μB per atom: 0.670
Electronic total energy, eV for the cell shown: -57.47

a b c (Å): 7.249 7.249 7.249
angles (deg): 90.00 90.00 90.00
Space group F-43m (No. 216)
Symmetry-distinct sites (fractional):
Pa: 0.000 0.000 0.000
Tl: 0.250 0.250 0.250
Sb: 0.000 0.000 0.500



Entry 6:
Computed, not measured: a relaxed structure of TmPaSb at the PBE-GGA level of DFT.

Size of the total moment, μB per atom: 0.372
Electronic total energy, eV for the cell shown: -66.57
Energy above the lowest structure with this stoichiometry, eV per atom: 0.000

a b c (Å): 7.027 7.027 7.027
angles (deg): 90.00 90.00 90.00
Space group F-43m (No. 216)
Symmetry-distinct sites (fractional):
Tm: 0.000 0.000 0.000
Pa: 0.250 0.250 0.750
Sb: 0.250 0.250 0.250



Entry 7:
Computed, not measured: a relaxed structure of UPaSb at the PBE-GGA level of DFT.

Size of the total moment, μB per atom: 1.871
Electronic total energy, eV for the cell shown: -93.43
Energy above the lowest structure with this stoichiometry, eV per atom: 0.000

a b c (Å): 7.187 7.187 7.187
angles (deg): 90.00 90.00 90.00
Space group F-43m (No. 216)
Symmetry-distinct sites (fractional):
U: 0.000 0.000 0.000
Pa: 0.000 0.000 0.500
Sb: 0.250 0.250 0.750



Entry 8:
Computed, not measured: a relaxed structure of YPaSb at the PBE-GGA level of DFT.

Size of the total moment, μB per atom: 0.794
Electronic total energy, eV for the cell shown: -80.11
Energy above the lowest structure with this stoichiometry, eV per atom: 0.000

a b c (Å): 7.225 7.225 7.225
angles (deg): 90.00 90.00 90.00
Space group F-43m (No. 216)
Symmetry-distinct sites (fractional):
Y: 0.000 0.000 0.000
Pa: 0.000 0.000 0.500
Sb: 0.250 0.250 0.750



Entry 9:
Computed, not measured: a relaxed structure of ZrPaSb at the PBE-GGA level of DFT.

Size of the total moment, μB per atom: 0.006
Electronic total energy, eV for the cell shown: -85.94
Energy above the lowest structure with this stoichiometry, eV per atom: 0.000

a b c (Å): 6.871 6.871 6.871
angles (deg): 90.00 90.00 90.00
Space group F-43m (No. 216)
Symmetry-distinct sites (fractional):
Zr: 0.000 0.000 0.000
Pa: 0.250 0.250 0.750
Sb: 0.250 0.250 0.250



Entry 10:
Computed, not measured: a relaxed structure of ZrPaSb at the PBE-GGA level of DFT.

Size of the total moment, μB per atom: 1.081
Electronic total energy, eV for the cell shown: -80.32
Energy above the lowest structure with this stoichiometry, eV per atom: 0.469

a b c (Å): 7.152 7.152 7.152
angles (deg): 90.00 90.00 90.00
Space group F-43m (No. 216)
Symmetry-distinct sites (fractional):
Zr: 0.000 0.000 0.000
Pa: 0.250 0.250 0.750
Sb: 0.000 0.000 0.500



Entry 11:
Computed, not measured: a relaxed structure of ScPa at the PBE-GGA level of DFT.

Size of the total moment, μB per atom: 1.316
Electronic total energy, eV for the cell shown: -53.11
Energy above the lowest structure with this stoichiometry, eV per atom: 1.221
Energy of formation from the pure elements, kJ/mol of atoms: 122.9

a b c (Å): 6.028 6.028 6.028
angles (deg): 90.00 90.00 90.00
Space group Fm-3m (No. 225)
Symmetry-distinct sites (fractional):
Sc: 0.000 0.000 0.000
Pa: 0.000 0.000 0.500



Entry 12:
Computed, not measured: a relaxed structure of ScPa at the PBE-GGA level of DFT.

Size of the total moment, μB per atom: 0.026
Electronic total energy, eV for the cell shown: -45.49
Energy above the lowest structure with this stoichiometry, eV per atom: 2.173
Energy of formation from the pure elements, kJ/mol of atoms: 214.8

a b c (Å): 5.959 5.959 5.959
angles (deg): 90.00 90.00 90.00
Space group F-43m (No. 216)
Symmetry-distinct sites (fractional):
Sc: 0.000 0.000 0.000
Pa: 0.250 0.250 0.250